Run one
HoTmIn4 | PBE | relaxed

The calculated density is 8.74 g/cm³.

The space group is Cm (No. 8) and the conventional cell measures 8.6656, 4.9958 and 6.9634 Å, with angles of 90.00, 90.00 and 90.00 degrees. The asymmetric unit holds Ho at (0.0000, 0.0000, 0.0000), Tm at (0.0001, 0.0000, 0.5000), In at (0.1666, 0.5000, 0.2398), In at (0.1666, 0.5000, 0.7615), In at (0.3333, 0.0000, 0.2665) and In at (0.3334, 0.0000, 0.7320).

Run two
HoTmIn4 | PBE | relaxed

The calculated density is 8.75 g/cm³.

The space group is F-43m (No. 216) and the conventional cell measures 8.4437, 8.4437 and 8.4437 Å, with angles of 90.00, 90.00 and 90.00 degrees. The asymmetric unit holds Ho at (0.0000, 0.0000, 0.0000), Tm at (0.2500, 0.2500, 0.7500) and In at (0.1250, 0.1250, 0.3750).

It is run two that is the least stable of them.

Run one
Ho2Tm3In | PBE | relaxed

The calculated density is 8.70 g/cm³.

The space group is Immm (No. 71) and the conventional cell measures 5.6795, 6.3731 and 10.0370 Å, with angles of 90.00, 90.00 and 90.00 degrees. The asymmetric unit holds Ho at (0.0000, 0.0000, 0.1823), Tm at (0.0000, 0.5000, 0.1563), Tm at (0.0000, 0.5000, 0.5000) and In at (0.0000, 0.0000, 0.5000).

Run two
Ho2Tm3In | PBE | relaxed

The calculated density is 9.16 g/cm³.

The space group is Cmmm (No. 65) and the conventional cell measures 4.8110, 14.8556 and 4.8269 Å, with angles of 90.00, 90.00 and 90.00 degrees. The asymmetric unit holds Ho at (0.0000, 0.1620, 0.0000), Tm at (0.0000, 0.0000, 0.5000), Tm at (0.0000, 0.3318, 0.5000) and In at (0.0000, 0.5000, 0.0000).

It is run one that is the least stable of them.

Run one
Ho3Tm2In | PBE | relaxed

The calculated density is 8.73 g/cm³.

The space group is Cmcm (No. 63) and the conventional cell measures 17.0864, 6.0875 and 6.9303 Å, with angles of 90.00, 90.00 and 90.00 degrees. The asymmetric unit holds Ho at (0.0000, 0.1844, 0.2500), Ho at (0.1395, 0.5000, 0.0000), Tm at (0.1858, 0.0152, 0.7500) and In at (0.0000, 0.3047, 0.7500).

Run two
Ho3Tm2In | PBE | relaxed

The calculated density is 9.07 g/cm³.

The space group is Cmmm (No. 65) and the conventional cell measures 4.8405, 14.8805 and 4.8144 Å, with angles of 90.00, 90.00 and 90.00 degrees. The asymmetric unit holds Ho at (0.0000, 0.0000, 0.0000), Ho at (0.0000, 0.3313, 0.0000), Tm at (0.0000, 0.1629, 0.5000) and In at (0.0000, 0.5000, 0.5000).

It is run one that is the least stable of them.

Run one
HoTm4In2 | PBE | relaxed

The calculated density is 7.88 g/cm³.

The space group is R-3m (No. 166, hexagonal axes) and the conventional cell measures 5.0735, 5.0735 and 30.3375 Å, with angles of 90.00, 90.00 and 120.00 degrees. The asymmetric unit holds Ho at (0.0000, 0.0000, 0.0000), Tm at (0.0000, 0.0000, 0.2047), Tm at (0.0000, 0.0000, 0.3886) and In at (0.0000, 0.0000, 0.1006).

Run two
HoTm4In2 | PBE | relaxed

The calculated density is 8.57 g/cm³.

The space group is Fmmm (No. 69) and the conventional cell measures 6.7185, 10.7103 and 11.5348 Å, with angles of 90.00, 90.00 and 90.00 degrees. The asymmetric unit holds Ho at (0.0000, 0.0000, 0.0000), Tm at (0.0000, 0.1680, 0.5000), Tm at (0.2500, 0.2500, 0.2500) and In at (0.0000, 0.0000, 0.2765).

It is run one that is the least stable of them.

Run one
Ho4TmIn3 | PBE | relaxed

The calculated density is 8.82 g/cm³.

The space group is R-3m (No. 166, hexagonal axes) and the conventional cell measures 5.3272, 5.3272 and 26.9650 Å, with angles of 90.00, 90.00 and 120.00 degrees. The asymmetric unit holds Ho at (0.0000, 0.0000, 0.1151), Ho at (0.0000, 0.0000, 0.3707), Tm at (0.0000, 0.0000, 0.5000), In at (0.0000, 0.0000, 0.0000) and In at (0.0000, 0.0000, 0.2372).

Run two
Ho4TmIn3 | PBE | relaxed

The calculated density is 8.45 g/cm³.

The space group is Immm (No. 71) and the conventional cell measures 3.4959, 8.8199 and 14.9488 Å, with angles of 90.00, 90.00 and 90.00 degrees. The asymmetric unit holds Ho at (0.0000, 0.1990, 0.1391), Tm at (0.0000, 0.5000, 0.0000), In at (0.0000, 0.0000, 0.3162) and In at (0.0000, 0.5000, 0.5000).

It is run two that is the least stable of them.

Run one
HoTm4In | PBE | relaxed

The calculated density is 7.85 g/cm³.

The space group is C2/m (No. 12) and the conventional cell measures 7.3279, 7.3277 and 7.5256 Å, with angles of 90.00, 90.06 and 90.00 degrees. The asymmetric unit holds Ho at (0.0000, 0.0000, 0.0000), Tm at (0.2499, 0.2501, 0.2548) and In at (0.0000, 0.5000, 0.5000).

Run two
HoTm4In | PBE | relaxed

The calculated density is 9.13 g/cm³.

The space group is P4/mmm (No. 123) and the conventional cell measures 3.5173, 3.5173 and 14.0435 Å, with angles of 90.00, 90.00 and 90.00 degrees. The asymmetric unit holds Ho at (0.0000, 0.0000, 0.0000), Tm at (0.0000, 0.0000, 0.3507), Tm at (0.5000, 0.5000, 0.1762) and In at (0.5000, 0.5000, 0.5000).

It is run one that is the least stable of them.

Run one
HoTmZnIn | PBE | relaxed

The calculated density is 8.90 g/cm³.

The space group is P4mm (No. 99) and the conventional cell measures 3.6064, 3.6064 and 7.3765 Å, with angles of 90.00, 90.00 and 90.00 degrees. The asymmetric unit holds Ho at (0.0000, 0.0000, 0.0000), Tm at (0.0000, 0.0000, 0.5396), Zn at (0.5000, 0.5000, 0.7651) and In at (0.5000, 0.5000, 0.2725).

Run two
HoTmZnIn | PBE | relaxed

The calculated density is 8.83 g/cm³.

The space group is F-43m (No. 216) and the conventional cell measures 7.2843, 7.2843 and 7.2843 Å, with angles of 90.00, 90.00 and 90.00 degrees. The asymmetric unit holds Ho at (0.0000, 0.0000, 0.0000), Tm at (0.0000, 0.0000, 0.5000), Zn at (0.2500, 0.2500, 0.2500) and In at (0.2500, 0.2500, 0.7500).

It is run two that is the least stable of them.

Run one
Y2Ho2In | PBE | relaxed

The calculated density is 6.68 g/cm³.

The space group is P4/mbm (No. 127) and the conventional cell measures 8.1247, 8.1247 and 4.6901 Å, with angles of 90.00, 90.00 and 90.00 degrees. The asymmetric unit holds Y at (0.1534, 0.3466, 0.0000), Ho at (0.1472, 0.6472, 0.5000) and In at (0.0000, 0.0000, 0.5000).

Run two
Y2Ho2In | PBE | relaxed

The calculated density is 6.99 g/cm³.

The space group is C2/m (No. 12) and the conventional cell measures 12.0366, 5.4281 and 9.3793 Å, with angles of 90.00, 105.22 and 90.00 degrees. The asymmetric unit holds Y at (0.0252, 0.0000, 0.3414), Y at (0.1557, 0.0000, 0.0510), Ho at (0.0234, 0.5000, 0.8413), Ho at (0.1533, 0.5000, 0.5523) and In at (0.2500, 0.0000, 0.7472).

It is run one that is the least stable of them.

Run one
Y4HoIn | PBE | relaxed

The calculated density is 5.77 g/cm³.

The space group is P4/mmm (No. 123) and the conventional cell measures 3.5835, 3.5835 and 14.2479 Å, with angles of 90.00, 90.00 and 90.00 degrees. The asymmetric unit holds Y at (0.0000, 0.0000, 0.1465), Y at (0.5000, 0.5000, 0.3256), Ho at (0.0000, 0.0000, 0.5000) and In at (0.5000, 0.5000, 0.0000).

Run two
Y4HoIn | PBE | relaxed

The calculated density is 5.02 g/cm³.

The space group is C2/m (No. 12) and the conventional cell measures 7.4257, 7.4260 and 7.6301 Å, with angles of 90.00, 90.08 and 90.00 degrees. The asymmetric unit holds Y at (0.2502, 0.2498, 0.2438), Ho at (0.0000, 0.0000, 0.5000) and In at (0.0000, 0.5000, 0.0000).

It is run two that is the least stable of them.

Run one
Y6HoIn3 | PBE | relaxed

The calculated density is 5.55 g/cm³.

The space group is Cmc2_1 (No. 36) and the conventional cell measures 10.6527, 15.4001 and 7.6112 Å, with angles of 90.00, 90.00 and 90.00 degrees. The asymmetric unit holds Y at (0.0000, 0.0444, 0.0000), Y at (0.0000, 0.2974, 0.1490), Y at (0.2292, 0.4663, 0.1808), Y at (0.2336, 0.3107, 0.4955), Ho at (0.0000, 0.1991, 0.7040), In at (0.0000, 0.4424, 0.4650) and In at (0.1446, 0.1323, 0.3538).

Run two
Y6HoIn3 | PBE | relaxed

The calculated density is 5.94 g/cm³.

The space group is P2_1/m (No. 11) and the conventional cell measures 10.1303, 5.1795 and 11.2780 Å, with angles of 90.00, 99.65 and 90.00 degrees. The asymmetric unit holds Y at (0.0529, 0.2500, 0.4062), Y at (0.1393, 0.7500, 0.1817), Y at (0.2258, 0.2500, 0.9829), Y at (0.3162, 0.7500, 0.7773), Y at (0.3600, 0.2500, 0.2814), Y at (0.4182, 0.2500, 0.5917), Ho at (0.4547, 0.7500, 0.0948), In at (0.0407, 0.7500, 0.8866), In at (0.1321, 0.2500, 0.6940) and In at (0.2624, 0.7500, 0.4641).

It is run one that is the least stable of them.

Run one
YHo6In2 | PBE | relaxed

The calculated density is 8.17 g/cm³.

The space group is C2/m (No. 12) and the conventional cell measures 12.6710, 3.7240 and 11.8651 Å, with angles of 90.00, 108.20 and 90.00 degrees. The asymmetric unit holds Y at (0.0000, 0.0000, 0.0000), Ho at (0.0147, 0.0000, 0.3425), Ho at (0.1841, 0.5000, 0.8761), Ho at (0.1893, 0.5000, 0.5839) and In at (0.1437, 0.5000, 0.2073).

Run two
YHo6In2 | PBE | relaxed

The calculated density is 7.36 g/cm³.

The space group is I-42m (No. 121) and the conventional cell measures 6.2462, 6.2462 and 15.1264 Å, with angles of 90.00, 90.00 and 90.00 degrees. The asymmetric unit holds Y at (0.0000, 0.0000, 0.0000), Ho at (0.0000, 0.5000, 0.2500), Ho at (0.1765, 0.1765, 0.5875) and In at (0.0000, 0.0000, 0.2128).

It is run two that is the least stable of them.